Entry 1:
Ac2ErSb4Pt3, optimized geometry, DFT PBE-GGA; E_form (uncorrected) = -895 meV per atom; symmetry = No. 115
1.0
-2.285 0.557 4.090
3.888 -1.278 2.347
3.401 11.069 0.394
Ac Er Sb Pt
2 1 4 3
direct
0.500 0.000 0.232 Ac
0.000 0.500 0.768 Ac
0.500 0.500 0.500 Er
0.500 0.500 0.000 Sb
0.000 0.000 0.000 Sb
0.500 0.000 0.650 Sb
0.000 0.500 0.350 Sb
0.000 0.000 0.500 Pt
0.500 0.000 0.881 Pt
0.000 0.500 0.119 Pt



Entry 2:
Ac2ErSb3Pt4, optimized geometry, DFT PBE-GGA; E_form (uncorrected) = -1000 meV per atom; symmetry = No. 115
1.0
-4.467 -1.099 -0.692
1.060 -1.653 -4.217
1.827 -10.245 4.475
Ac Er Sb Pt
2 1 3 4
direct
0.500 0.000 0.223 Ac
0.000 0.500 0.777 Ac
0.500 0.500 0.500 Er
0.000 0.000 0.500 Sb
0.500 0.000 0.874 Sb
0.000 0.500 0.126 Sb
0.500 0.500 0.000 Pt
0.000 0.000 0.000 Pt
0.500 0.000 0.640 Pt
0.000 0.500 0.360 Pt



Entry 3:
Ac2ErSi4Pt3, optimized geometry, DFT PBE-GGA; E_form (uncorrected) = -975 meV per atom; symmetry = No. 115
1.0
4.372 0.000 0.000
0.000 4.372 0.000
0.000 0.000 10.940
Ac Er Si Pt
2 1 4 3
direct
0.500 0.000 0.233 Ac
0.000 0.500 0.767 Ac
0.500 0.500 0.500 Er
0.500 0.500 0.000 Si
0.000 0.000 0.000 Si
0.500 0.000 0.660 Si
0.000 0.500 0.340 Si
0.000 0.000 0.500 Pt
0.500 0.000 0.892 Pt
0.000 0.500 0.108 Pt



Entry 4:
Ac2ErSi3Pt12, optimized geometry, DFT PBE-GGA; E_form (uncorrected) = -582 meV per atom; symmetry = No. 166
1.0
7.884 -0.257 -0.182
3.670 6.982 -0.182
3.670 2.136 6.650
Ac Er Si Pt
2 1 3 12
direct
0.604 0.604 0.604 Ac
0.396 0.396 0.396 Ac
0.000 0.000 0.000 Er
0.500 0.000 0.000 Si
0.000 0.500 0.000 Si
0.000 0.000 0.500 Si
0.345 0.345 0.902 Pt
0.864 0.864 0.395 Pt
0.395 0.864 0.864 Pt
0.902 0.345 0.345 Pt
0.864 0.395 0.864 Pt
0.345 0.902 0.345 Pt
0.655 0.655 0.098 Pt
0.136 0.136 0.605 Pt
0.605 0.136 0.136 Pt
0.098 0.655 0.655 Pt
0.136 0.605 0.136 Pt
0.655 0.098 0.655 Pt



Entry 5:
AcErSiPt, optimized geometry, DFT PBE-GGA; E_form (uncorrected) = -698 meV per atom; symmetry = No. 216
1.0
-2.331 2.911 -3.614
-4.691 2.025 0.926
-0.522 5.115 0.726
Ac Si Pt Er
1 1 1 1
direct
0.500 0.500 0.500 Ac
0.250 0.250 0.250 Si
0.750 0.750 0.750 Pt
0.000 0.000 0.000 Er



Entry 6:
Ac2ErSi3Pt4, optimized geometry, DFT PBE-GGA; E_form (uncorrected) = -1050 meV per atom; symmetry = No. 115
1.0
4.409 0.000 0.000
0.000 4.409 0.000
0.000 0.000 10.757
Ac Er Si Pt
2 1 3 4
direct
0.500 0.000 0.234 Ac
0.000 0.500 0.766 Ac
0.500 0.500 0.500 Er
0.000 0.000 0.500 Si
0.500 0.000 0.885 Si
0.000 0.500 0.115 Si
0.500 0.500 0.000 Pt
0.000 0.000 0.000 Pt
0.500 0.000 0.655 Pt
0.000 0.500 0.345 Pt



Entry 7:
AcErSnPt, optimized geometry, DFT PBE-GGA; symmetry = No. 216; ΔE_f = -731 meV per atom
1.0
-1.963 3.622 3.445
-5.252 0.071 1.118
-1.737 -1.561 4.836
Ac Sn Pt Er
1 1 1 1
direct
0.000 0.000 0.000 Ac
0.250 0.250 0.250 Sn
0.750 0.750 0.750 Pt
0.500 0.500 0.500 Er



Entry 8:
AcErTlPt, optimized geometry, DFT PBE-GGA; symmetry = No. 216; ΔE_f = -569 meV per atom
1.0
-1.856 5.020 0.501
-4.125 1.025 3.291
0.814 2.724 4.563
Ac Tl Pt Er
1 1 1 1
direct
0.750 0.750 0.750 Ac
0.000 0.000 0.000 Tl
0.500 0.500 0.500 Pt
0.250 0.250 0.250 Er